1.
DFT (PBE) results for a geometry-optimized Hf3SbSe structure.

a = 4.9384 Å, b = 4.9384 Å, c = 4.9384 Å
α = 90.00°, β = 90.00°, γ = 90.00°
Last column: nearest neighbours and their distance in Å.
Fractional coordinates of all 5 atoms:
Se: 0.0000 0.0000 0.0000  6 Hf 2.47
Hf: 0.0000 0.5000 0.0000  2 Se 2.47
Hf: 0.0000 0.0000 0.5000  2 Se 2.47
Hf: 0.5000 0.0000 0.0000  2 Se 2.47
Sb: 0.5000 0.5000 0.5000  12 Hf 3.49

Summary:
Energy relative to the elements, uncorrected in eV per atom: 0.149
ΔE to the lowest computed polymorph in meV/atom: 522
Total energy in eV/atom: -7.34
V in Å³/f.u.: 120.4

2.
DFT (PBE) results for a geometry-optimized HfSiSb2Se structure.

a = 5.5853 Å, b = 4.9834 Å, c = 5.5853 Å
α = 90.00°, β = 90.00°, γ = 90.00°
Last column: nearest neighbours and their distance in Å.
Fractional coordinates of all 5 atoms:
Sb: 0.5000 0.0000 0.0000  2 Hf 2.79
Sb: 0.0000 0.0000 0.5000  2 Hf 2.79
Se: 0.0000 0.5000 0.0000  2 Hf 2.49
Si: 0.5000 0.5000 0.5000  8 Sb 3.74, 4 Se 3.95
Hf: 0.0000 0.0000 0.0000  2 Se 2.49

Summary:
Energy relative to the elements, uncorrected in eV per atom: 0.463
Total energy in eV/atom: -4.96
V in Å³/f.u.: 155.5

3.
DFT (PBE) results for a geometry-optimized HfSiSbSe2 structure.

a = 5.1651 Å, b = 5.0606 Å, c = 5.1651 Å
α = 90.00°, β = 90.00°, γ = 90.00°
Last column: nearest neighbours and their distance in Å.
Fractional coordinates of all 5 atoms:
Sb: 0.0000 0.0000 0.0000  2 Si 2.53, 4 Se 2.58
Hf: 0.5000 0.5000 0.5000  8 Se 3.62, 4 Si 3.65
Si: 0.0000 0.5000 0.0000  2 Sb 2.53
Se: 0.0000 0.0000 0.5000  2 Sb 2.58
Se: 0.5000 0.0000 0.0000  2 Sb 2.58

Summary:
Energy relative to the elements, uncorrected in eV per atom: 0.886
Total energy in eV/atom: -4.41
V in Å³/f.u.: 135.0

4.
DFT (PBE) results for a geometry-optimized HfSbTe2Se structure.

a = 5.4166 Å, b = 5.4166 Å, c = 5.6646 Å
α = 90.00°, β = 90.00°, γ = 90.00°
Last column: nearest neighbours and their distance in Å.
Fractional coordinates of all 5 atoms:
Se: 0.5000 0.5000 0.5000  4 Sb 3.83, 8 Te 3.92
Sb: 0.0000 0.0000 0.5000  2 Hf 2.83
Te: 0.5000 0.0000 0.0000  2 Hf 2.71
Te: 0.0000 0.5000 0.0000  2 Hf 2.71
Hf: 0.0000 0.0000 0.0000  4 Te 2.71, 2 Sb 2.83

Summary:
Energy relative to the elements, uncorrected in eV per atom: 0.247
ΔE to the lowest computed polymorph in meV/atom: 0
Total energy in eV/atom: -4.52
V in Å³/f.u.: 166.2